No. 1
## PmErPd2 (GGA-PBEsol)

Data for a relaxed PmErPd2 crystal.

Properties
Final energy   -100.9 eV for the cell shown
Formation energy   -0.81 eV per atom
Total magnetic moment   0.00 Bohr magnetons per cell
DOS at the Fermi energy   9.05 states/eV/cell

a b c (Å): 6.963 6.963 6.963
angles (deg): 90.00 90.00 90.00
Space group Fm-3m (No. 225)
Asymmetric unit:
Pm 0.000 0.000 0.000 x4
Er 0.000 0.000 0.500 x4
Pd 0.250 0.250 0.250 x8


No. 2
## Er2PdRh (GGA-PBEsol)

Data for a relaxed Er2PdRh crystal.

Properties
Final energy   -110.3 eV for the cell shown
Formation energy   -0.91 eV per atom
Total magnetic moment   0.00 Bohr magnetons per cell
DOS at the Fermi energy   7.12 states/eV/cell

a b c (Å): 6.752 6.752 6.752
angles (deg): 90.00 90.00 90.00
Space group Fm-3m (No. 225)
Asymmetric unit:
Er 0.250 0.250 0.250 x8
Pd 0.000 0.000 0.000 x4
Rh 0.000 0.000 0.500 x4


No. 3
## Er2PdRu (GGA-PBEsol)

Data for a relaxed Er2PdRu crystal.

Properties
Final energy   -114.7 eV for the cell shown
Formation energy   -0.67 eV per atom
Total magnetic moment   0.00 Bohr magnetons per cell
DOS at the Fermi energy   7.11 states/eV/cell

a b c (Å): 6.718 6.718 6.718
angles (deg): 90.00 90.00 90.00
Space group Fm-3m (No. 225)
Asymmetric unit:
Er 0.250 0.250 0.250 x8
Pd 0.000 0.000 0.000 x4
Ru 0.000 0.000 0.500 x4